# Nb2GaGeRh

A geometry-optimized Nb2GaGeRh structure (PBE-GGA, the Alexandria database). Values from VASP.

Properties
**Crystal system**: tetragonal
**Volume**: 20.279 Å³ per atom
**Energy above the lowest structure with this stoichiometry**: 0.0 meV per atom
**DOS at the Fermi energy**: 1.82 states/eV/atom
**Total magnetic moment**: 0.09 μB/cell

Cell and atoms, written as Quantum ESPRESSO input:
```
&SYSTEM
  ibrav = 0, nat = 5, ntyp = 4
/
ATOMIC_SPECIES
Nb 92.91 Nb.upf
Ga 69.72 Ga.upf
Ge 72.64 Ge.upf
Rh 102.91 Rh.upf
CELL_PARAMETERS angstrom
4.769 0.000 0.000
0.000 4.769 0.000
0.000 0.000 4.458
ATOMIC_POSITIONS crystal
Nb 0.000 0.500 0.000
Nb 0.500 0.000 0.000
Ga 0.000 0.000 0.500
Ge 0.000 0.000 0.000
Rh 0.500 0.500 0.500
```

---

# Sr2PuSn4Au3

A geometry-optimized Sr2PuSn4Au3 structure (PBE-GGA, the Alexandria database). Values from VASP.

Properties
**Crystal system**: tetragonal
**Volume**: 27.662 Å³ per atom
**DOS at the Fermi energy**: 1.88 states/eV/atom
**Total magnetic moment**: 5.36 μB/cell
**DFT total energy**: -4.817 eV/atom

Cell and atoms, written as Quantum ESPRESSO input:
```
&SYSTEM
  ibrav = 0, nat = 10, ntyp = 4
/
ATOMIC_SPECIES
Sr 87.62 Sr.upf
Pu 244.00 Pu.upf
Sn 118.71 Sn.upf
Au 196.97 Au.upf
CELL_PARAMETERS angstrom
4.587 0.000 0.000
0.000 4.587 0.000
0.000 0.000 13.146
ATOMIC_POSITIONS crystal
Sr 0.000 0.500 0.230
Sr 0.500 0.000 0.770
Pu 0.000 0.000 0.500
Sn 0.000 0.000 0.000
Sn 0.000 0.500 0.657
Sn 0.500 0.000 0.343
Sn 0.500 0.500 0.000
Au 0.000 0.500 0.865
Au 0.500 0.000 0.135
Au 0.500 0.500 0.500
```

---

# In3Pb

A geometry-optimized In3Pb structure (PBE-GGA, the Alexandria database). Values from VASP.

Properties
**Crystal system**: orthorhombic
**Volume**: 28.590 Å³ per atom
**DOS at the Fermi energy**: 0.45 states/eV/atom
**Total magnetic moment**: 0.00 μB/cell
**DFT total energy**: -2.952 eV/atom

Cell and atoms, written as Quantum ESPRESSO input:
```
&SYSTEM
  ibrav = 0, nat = 8, ntyp = 2
/
ATOMIC_SPECIES
In 114.82 In.upf
Pb 207.20 Pb.upf
CELL_PARAMETERS angstrom
3.782 0.000 0.000
0.000 5.627 0.000
0.000 0.000 10.747
ATOMIC_POSITIONS crystal
In 0.000 0.000 0.000
In 0.000 0.500 0.244
In 0.000 0.500 0.756
In 0.500 0.000 0.244
In 0.500 0.000 0.756
In 0.500 0.500 0.000
Pb 0.000 0.000 0.500
Pb 0.500 0.500 0.500
```

---

# Cs3Pr3GeO8

A geometry-optimized Cs3Pr3GeO8 structure (PBE-GGA, the Alexandria database). Values from VASP.

Properties
**Crystal system**: trigonal
**Uncorrected formation energy**: -2.2354 eV/atom
**Volume**: 20.576 Å³ per atom
**Total magnetic moment**: 0.00 μB/cell

Cell and atoms, written as Quantum ESPRESSO input:
```
&SYSTEM
  ibrav = 0, nat = 15, ntyp = 4
/
ATOMIC_SPECIES
Cs 132.91 Cs.upf
Pr 140.91 Pr.upf
Ge 72.64 Ge.upf
O 16.00 O.upf
CELL_PARAMETERS angstrom
3.567 2.060 7.001
-3.567 2.060 7.001
0.000 -4.119 7.001
ATOMIC_POSITIONS crystal
Cs 0.000 0.500 0.500
Cs 0.500 0.000 0.500
Cs 0.500 0.500 0.000
Pr 0.000 0.000 0.500
Pr 0.000 0.500 0.000
Pr 0.500 0.000 0.000
Ge 0.500 0.500 0.500
O 0.222 0.222 0.222
O 0.268 0.693 0.693
O 0.307 0.307 0.732
O 0.307 0.732 0.307
O 0.693 0.268 0.693
O 0.693 0.693 0.268
O 0.732 0.307 0.307
O 0.778 0.778 0.778
```

---

# TaCoBr

A geometry-optimized TaCoBr structure (PBE-GGA, the Alexandria database). Values from VASP.

Properties
**Crystal system**: cubic
**Uncorrected formation energy**: 0.9083 eV/atom
**Volume**: 18.126 Å³ per atom
**Energy above the lowest structure with this stoichiometry**: 747.9 meV per atom
**DOS at the Fermi energy**: 0.43 states/eV/atom
**Total magnetic moment**: 0.00 μB/cell

Cell and atoms, written as Quantum ESPRESSO input:
```
&SYSTEM
  ibrav = 0, nat = 12, ntyp = 3
/
ATOMIC_SPECIES
Ta 180.95 Ta.upf
Co 58.93 Co.upf
Br 79.90 Br.upf
CELL_PARAMETERS angstrom
6.014 0.000 0.000
0.000 6.014 0.000
0.000 0.000 6.014
ATOMIC_POSITIONS crystal
Ta 0.000 0.000 0.000
Ta 0.000 0.500 0.500
Ta 0.500 0.000 0.500
Ta 0.500 0.500 0.000
Co 0.250 0.250 0.750
Co 0.250 0.750 0.250
Co 0.750 0.250 0.250
Co 0.750 0.750 0.750
Br 0.000 0.000 0.500
Br 0.000 0.500 0.000
Br 0.500 0.000 0.000
Br 0.500 0.500 0.500
```

---

# LaGdIrRu

A geometry-optimized LaGdIrRu structure (PBE-GGA, the Alexandria database). Values from VASP.

Properties
**Crystal system**: cubic
**Volume**: 21.687 Å³ per atom
**DOS at the Fermi energy**: 0.62 states/eV/atom
**Total magnetic moment**: 28.08 μB/cell
**DFT total energy**: -9.682 eV/atom

Cell and atoms, written as Quantum ESPRESSO input:
```
&SYSTEM
  ibrav = 0, nat = 16, ntyp = 4
/
ATOMIC_SPECIES
La 138.91 La.upf
Gd 157.25 Gd.upf
Ir 192.22 Ir.upf
Ru 101.07 Ru.upf
CELL_PARAMETERS angstrom
7.027 0.000 0.000
0.000 7.027 0.000
0.000 0.000 7.027
ATOMIC_POSITIONS crystal
La 0.000 0.000 0.000
La 0.000 0.500 0.500
La 0.500 0.000 0.500
La 0.500 0.500 0.000
Gd 0.000 0.000 0.500
Gd 0.000 0.500 0.000
Gd 0.500 0.000 0.000
Gd 0.500 0.500 0.500
Ir 0.250 0.250 0.750
Ir 0.250 0.750 0.250
Ir 0.750 0.250 0.250
Ir 0.750 0.750 0.750
Ru 0.250 0.250 0.250
Ru 0.250 0.750 0.750
Ru 0.750 0.250 0.750
Ru 0.750 0.750 0.250
```

---

# LaTa

A geometry-optimized LaTa structure (PBE-GGA, the Alexandria database). Values from VASP.

Properties
**Crystal system**: orthorhombic
**Volume**: 25.499 Å³ per atom
**Energy above the lowest structure with this stoichiometry**: 219.9 meV per atom
**DOS at the Fermi energy**: 1.16 states/eV/atom
**Total magnetic moment**: 0.00 μB/cell

Cell and atoms, written as Quantum ESPRESSO input:
```
&SYSTEM
  ibrav = 0, nat = 4, ntyp = 2
/
ATOMIC_SPECIES
La 138.91 La.upf
Ta 180.95 Ta.upf
CELL_PARAMETERS angstrom
4.945 0.000 0.000
0.000 3.116 0.000
0.000 0.000 6.620
ATOMIC_POSITIONS crystal
La 0.250 0.000 0.146
La 0.750 0.000 0.854
Ta 0.250 0.500 0.585
Ta 0.750 0.500 0.415
```

---

# GePH

A geometry-optimized GePH structure (PBE-GGA, the Alexandria database). Values from VASP.

Properties
**Crystal system**: monoclinic
**Volume**: 14.412 Å³ per atom
**Energy above the lowest structure with this stoichiometry**: 353.3 meV per atom
**DOS at the Fermi energy**: 0.20 states/eV/atom
**Total magnetic moment**: 0.00 μB/cell

Cell and atoms, written as Quantum ESPRESSO input:
```
&SYSTEM
  ibrav = 0, nat = 6, ntyp = 3
/
ATOMIC_SPECIES
Ge 72.64 Ge.upf
P 30.97 P.upf
H 1.01 H.upf
CELL_PARAMETERS angstrom
3.014 0.000 0.000
0.000 5.020 0.000
-1.424 0.000 5.715
ATOMIC_POSITIONS crystal
Ge 0.160 0.250 0.304
Ge 0.840 0.750 0.696
P 0.169 0.750 0.334
P 0.831 0.250 0.666
H 0.424 0.750 0.870
H 0.576 0.250 0.130
```

---

# CaMnCdCl6

A geometry-optimized CaMnCdCl6 structure (PBE-GGA, the Alexandria database). Values from VASP.

Properties
**Crystal system**: trigonal
**Uncorrected formation energy**: -1.4796 eV/atom
**Volume**: 25.129 Å³ per atom
**DOS at the Fermi energy**: 0.00 states/eV/atom
**Total magnetic moment**: 10.00 μB/cell

Cell and atoms, written as Quantum ESPRESSO input:
```
&SYSTEM
  ibrav = 0, nat = 18, ntyp = 4
/
ATOMIC_SPECIES
Ca 40.08 Ca.upf
Mn 54.94 Mn.upf
Cd 112.41 Cd.upf
Cl 35.45 Cl.upf
CELL_PARAMETERS angstrom
6.652 0.000 0.000
-3.326 5.760 0.000
0.000 0.000 11.805
ATOMIC_POSITIONS crystal
Ca 0.333 0.667 0.250
Ca 0.667 0.333 0.750
Mn 0.333 0.667 0.750
Mn 0.667 0.333 0.250
Cd 0.000 0.000 0.000
Cd 0.000 0.000 0.500
Cl 0.024 0.349 0.626
Cl 0.024 0.674 0.874
Cl 0.326 0.349 0.874
Cl 0.326 0.976 0.626
Cl 0.349 0.024 0.126
Cl 0.349 0.326 0.374
Cl 0.651 0.674 0.626
Cl 0.651 0.976 0.874
Cl 0.674 0.024 0.374
Cl 0.674 0.651 0.126
Cl 0.976 0.326 0.126
Cl 0.976 0.651 0.374
```

---

# InPtAu2

A geometry-optimized InPtAu2 structure (PBE-GGA, the Alexandria database). Values from VASP.

Properties
**Crystal system**: monoclinic
**Volume**: 18.545 Å³ per atom
**DOS at the Fermi energy**: 0.27 states/eV/atom
**Total magnetic moment**: 0.00 μB/cell
**DFT total energy**: -3.952 eV/atom

Cell and atoms, written as Quantum ESPRESSO input:
```
&SYSTEM
  ibrav = 0, nat = 4, ntyp = 3
/
ATOMIC_SPECIES
In 114.82 In.upf
Pt 195.08 Pt.upf
Au 196.97 Au.upf
CELL_PARAMETERS angstrom
2.993 0.000 0.000
0.000 5.156 0.000
-0.056 0.000 4.807
ATOMIC_POSITIONS crystal
In 0.000 0.000 0.000
Pt 0.500 0.000 0.500
Au 0.252 0.500 0.748
Au 0.748 0.500 0.252
```

---

- Which value of volume does entry 2 give?
  27.662 Å³ per atom